Density functional theory data (GGA-PBE) for a relaxed structure of SmY3B4O12.

```
data_SmY3B4O12
_symmetry_space_group_name_H-M 'R 3 2'
_symmetry_Int_Tables_number 155
_symmetry_space_group_name_Hall 'R 3 2"'
_cell_length_a 10.1654
_cell_length_b 10.1654
_cell_length_c 8.5556
_cell_angle_alpha 90.00
_cell_angle_beta 90.00
_cell_angle_gamma 120.00
loop_
_atom_site_label
_atom_site_type_symbol
_atom_site_fract_x
_atom_site_fract_y
_atom_site_fract_z
Sm1 Sm 0.0000 0.0000 0.0000
Y1 Y 0.0000 0.5337 0.0000
B1 B 0.0000 0.0000 0.5000
B2 B 0.0000 0.4654 0.5000
O1 O 0.0000 0.6009 0.5000
O2 O 0.0000 0.8644 0.5000
O3 O 0.0024 0.1962 0.1688
```

Crystal system: trigonal
DOS at the Fermi energy, states/eV/atom: 0.000
E_form (uncorrected), meV per atom: -3060
Uncorrected energy, eV/atom: -8.58